1.
DFT (PBEsol) results for crystalline CaBr2O2 at its relaxed geometry. Values from VASP.

D(E_F), states/eV/f.u.: 2.71
Total energy, eV/atom: -3.488
Size of the total moment, μB/f.u.: 0.001
Calculated density, g cm⁻³: 3.94
Energy relative to the elements, uncorrected, kJ/mol of formula units: -103

Quantum ESPRESSO input file:
```
&SYSTEM
  ibrav = 0, nat = 5, ntyp = 3
/
ATOMIC_SPECIES
Ca 40.08 Ca.upf
O 16.00 O.upf
Br 79.90 Br.upf
ATOMIC_POSITIONS angstrom
Ca 0.000 0.000 0.000
O -1.575 -2.010 1.943
O -4.934 -2.278 1.866
Br -3.234 -1.902 0.166
Br -3.275 -2.387 3.643
CELL_PARAMETERS angstrom
-3.243 -0.754 -3.410
0.208 -3.753 3.963
-3.474 0.219 3.256
```

=====

2.
DFT (PBEsol) results for crystalline ZrZn2Pt at its relaxed geometry. Values from VASP.

D(E_F), states/eV/f.u.: 2.03
Total energy, eV/atom: -5.413
ΔH_f (0 K), eV per formula unit: -2.4
Size of the total moment, μB/f.u.: 0.000
Calculated density, g cm⁻³: 10.95

Quantum ESPRESSO input file:
```
&SYSTEM
  ibrav = 0, nat = 4, ntyp = 3
/
ATOMIC_SPECIES
Pt 195.08 Pt.upf
Zn 65.41 Zn.upf
Zr 91.22 Zr.upf
ATOMIC_POSITIONS angstrom
Pt 1.776 -0.494 -2.025
Zn 0.000 0.000 0.000
Zr 0.330 -2.761 -1.503
Zn 2.106 -3.255 -3.528
CELL_PARAMETERS angstrom
-2.812 -3.013 -1.730
3.221 1.772 -2.547
3.473 -2.509 -1.275
```

=====

3.
DFT (PBEsol) results for crystalline Pt2W at its relaxed geometry. Values from VASP.

E above lowest polymorph, meV/atom: 9
D(E_F), states/eV/f.u.: 1.03
Total energy, eV/atom: -9.608
ΔH_f (0 K), eV per formula unit: -1.1
Size of the total moment, μB/f.u.: 0.000
Calculated density, g cm⁻³: 21.20

Quantum ESPRESSO input file:
```
&SYSTEM
  ibrav = 0, nat = 6, ntyp = 2
/
ATOMIC_SPECIES
W 183.84 W.upf
Pt 195.08 Pt.upf
ATOMIC_POSITIONS angstrom
W 1.129 4.351 0.746
W 3.386 2.801 3.412
Pt 1.129 4.324 3.500
Pt 3.386 2.828 0.657
Pt 3.386 5.181 2.025
Pt 1.129 1.970 2.132
CELL_PARAMETERS angstrom
4.515 0.000 0.000
0.000 4.786 -0.002
0.000 2.366 4.160
```

=====

4.
DFT (PBEsol) results for crystalline OsSF3 at its relaxed geometry. Values from VASP.

D(E_F), states/eV/f.u.: 5.74
Total energy, eV/atom: -3.634
Size of the total moment, μB/f.u.: 4.865
Calculated density, g cm⁻³: 6.14
Energy relative to the elements, uncorrected, kJ/mol of formula units: 407

Quantum ESPRESSO input file:
```
&SYSTEM
  ibrav = 0, nat = 5, ntyp = 3
/
ATOMIC_SPECIES
F 19.00 F.upf
Os 190.23 Os.upf
S 32.06 S.upf
ATOMIC_POSITIONS angstrom
F -1.938 -0.524 -0.658
F -0.307 -1.100 1.778
Os -3.029 0.102 2.053
S 0.000 0.000 0.000
F -0.784 1.726 0.933
CELL_PARAMETERS angstrom
-3.877 -1.048 -1.317
-0.613 -2.200 3.556
-1.568 3.453 1.866
```

=====

5.
DFT (PBEsol) results for crystalline KYNbIr2 at its relaxed geometry. Values from VASP.

D(E_F), states/eV/f.u.: 5.49
Total energy, eV/atom: -5.847
ΔH_f (0 K), eV per formula unit: 9.2
Size of the total moment, μB/f.u.: 0.000
Calculated density, g cm⁻³: 7.93

Quantum ESPRESSO input file:
```
&SYSTEM
  ibrav = 0, nat = 5, ntyp = 4
/
ATOMIC_SPECIES
Y 88.91 Y.upf
Nb 92.91 Nb.upf
Ir 192.22 Ir.upf
K 39.10 K.upf
ATOMIC_POSITIONS angstrom
Y 0.000 0.000 0.000
Nb -0.085 2.275 1.046
Ir -1.309 -0.937 1.932
Ir -2.145 0.481 -1.221
K -3.540 1.819 1.756
CELL_PARAMETERS angstrom
-0.170 4.549 2.091
-4.290 0.962 -2.442
-2.619 -1.874 3.863
```

=====

6.
DFT (PBEsol) results for crystalline Na3CoC2ClO6 at its relaxed geometry. Values from VASP.

D(E_F), states/eV/f.u.: 9.59
Total energy, eV/atom: -6.471
Size of the total moment, μB/f.u.: 3.000
Calculated density, g cm⁻³: 2.77
Energy relative to the elements, uncorrected, kJ/mol of formula units: -1872

Quantum ESPRESSO input file:
```
&SYSTEM
  ibrav = 0, nat = 52, ntyp = 5
/
ATOMIC_SPECIES
C 12.01 C.upf
Co 58.93 Co.upf
O 16.00 O.upf
Na 22.99 Na.upf
Cl 35.45 Cl.upf
ATOMIC_POSITIONS angstrom
C 9.870 5.699 6.236
Co 9.870 5.699 1.007
O 16.472 10.509 5.879
Co 7.403 7.123 5.037
O 7.339 5.700 3.538
Co 12.338 7.123 5.037
O 17.337 8.546 6.536
Co 9.870 2.849 5.037
C 13.004 9.588 6.780
O 12.274 9.010 5.879
O 10.735 6.662 6.259
Na 2.715 1.567 3.828
Cl 4.935 5.699 1.007
Na 7.155 7.266 1.813
O 13.139 9.045 7.948
Na 9.870 8.834 6.246
Cl 2.468 1.425 1.007
Na 12.585 7.266 1.813
O 13.542 10.741 6.536
O 16.069 9.742 7.948
O 16.073 8.281 3.815
O 13.940 7.584 3.815
Na 4.935 5.413 3.828
Na 12.585 4.131 6.246
Na 4.935 0.286 0.202
O 11.137 7.890 3.538
Na 2.715 4.131 0.202
O 9.468 7.390 2.126
O 10.273 4.468 6.259
O 12.401 5.236 4.195
C 11.672 4.658 3.294
O 11.134 3.506 3.538
C 16.607 9.588 6.780
C 14.805 6.467 6.780
O 13.538 6.357 6.536
O 15.208 6.856 7.948
O 11.536 5.201 2.126
Na 9.870 2.564 1.813
O 9.005 8.122 4.195
Na 7.155 1.567 3.828
Cl 7.403 1.425 1.007
C 14.805 8.548 3.837
O 8.204 3.738 4.195
O 15.670 6.125 5.879
O 8.606 4.504 2.126
C 9.870 7.779 3.294
Na 7.155 4.131 6.246
O 8.603 5.966 6.259
Cl 4.935 2.849 5.037
Na 7.155 4.131 0.202
C 8.068 4.658 3.294
O 14.403 9.779 3.815
CELL_PARAMETERS angstrom
9.870 0.000 0.000
4.935 8.548 0.000
4.935 2.849 8.059
```